This record from OQMD via LeMat-Bulk describes a relaxed structure of RbScHgTe3. The functional is PBE-GGA.

Lattice parameters (Å, degrees): 10.7788 4.4835 16.8649 90.00 90.00 90.00
Fractional coordinates of all 24 atoms:
Te 0.8226 0.7500 0.5036
Hg 0.8050 0.2500 0.1460
Sc 0.3430 0.7500 0.5479
Hg 0.1950 0.7500 0.8540
Te 0.1774 0.2500 0.4964
Te 0.2038 0.7500 0.6913
Hg 0.3050 0.2500 0.3540
Rb 0.4473 0.2500 0.8137
Hg 0.6950 0.7500 0.6460
Te 0.0109 0.2500 0.9003
Te 0.4891 0.7500 0.4003
Te 0.3226 0.7500 0.9964
Rb 0.9473 0.2500 0.6863
Sc 0.6570 0.2500 0.4521
Rb 0.5527 0.7500 0.1863
Te 0.6774 0.2500 0.0036
Te 0.7038 0.7500 0.8087
Te 0.7962 0.2500 0.3087
Te 0.9891 0.7500 0.0997
Sc 0.1570 0.2500 0.0479
Te 0.5109 0.2500 0.5997
Rb 0.0527 0.7500 0.3137
Te 0.2962 0.2500 0.1913
Sc 0.8430 0.7500 0.9521

Properties
- Relative energy among the computed polymorphs: 0.0686 eV/atom
- SG: No. 62
- VASP energy: -3.6233 eV/atom



This record from OQMD via LeMat-Bulk describes a relaxed structure of RbScHgTe3. The functional is PBE-GGA.

Lattice parameters (Å, degrees): 11.9298 4.3588 15.7165 90.00 90.00 90.00
Fractional coordinates of all 24 atoms:
Hg 0.2643 0.7500 0.7848
Rb 0.7824 0.2500 0.5140
Te 0.4802 0.7500 0.8643
Sc 0.5037 0.2500 0.7369
Hg 0.7643 0.7500 0.7152
Te 0.9312 0.2500 0.1179
Te 0.7805 0.2500 0.8335
Sc 0.0037 0.2500 0.7631
Rb 0.7176 0.7500 0.0140
Te 0.0198 0.2500 0.3643
Te 0.2805 0.2500 0.6665
Te 0.5688 0.7500 0.6179
Sc 0.4963 0.7500 0.2631
Te 0.0688 0.7500 0.8821
Sc 0.9963 0.7500 0.2369
Hg 0.7357 0.2500 0.2152
Te 0.2195 0.7500 0.1665
Te 0.9802 0.7500 0.6357
Rb 0.2176 0.7500 0.4860
Hg 0.2357 0.2500 0.2848
Te 0.7195 0.7500 0.3335
Te 0.4312 0.2500 0.3821
Te 0.5198 0.2500 0.1357
Rb 0.2824 0.2500 0.9860

Properties
- Relative energy among the computed polymorphs: 0.0111 eV/atom
- SG: No. 62
- VASP energy: -3.6808 eV/atom



This record from OQMD via LeMat-Bulk describes a relaxed structure of RbScHgTe3. The functional is PBE-GGA.

Lattice parameters (Å, degrees): 9.1348 4.3791 11.2110 90.00 110.66 90.00
Fractional coordinates of all 12 atoms:
Te 0.7594 0.7500 0.5698
Hg 0.4269 0.7500 0.3848
Rb 0.2549 0.7500 0.7170
Te 0.3973 0.7500 0.1284
Te 0.9578 0.7500 0.1401
Te 0.0422 0.2500 0.8599
Hg 0.5731 0.2500 0.6152
Te 0.2406 0.2500 0.4302
Rb 0.7451 0.2500 0.2830
Sc 0.8267 0.7500 0.8664
Sc 0.1733 0.2500 0.1336
Te 0.6027 0.2500 0.8716

Properties
- Relative energy among the computed polymorphs: 0.0020 eV/atom
- SG: No. 11
- VASP energy: -3.6900 eV/atom



This record from OQMD via LeMat-Bulk describes a relaxed structure of Rb2Hg2Se3. The functional is PBE-GGA.

Lattice parameters (Å, degrees): 8.0685 8.0685 8.0685 109.47 109.47 109.47
Fractional coordinates of all 14 atoms:
Rb 0.3241 0.5000 0.0000
Hg 0.8608 0.5000 0.0000
Rb 0.5000 0.0000 0.3241
Rb 0.1759 0.1759 0.1759
Se 0.6612 0.4112 0.2500
Hg 0.0000 0.8608 0.5000
Hg 0.5000 0.0000 0.8608
Se 0.8388 0.0888 0.7500
Rb 0.0000 0.3241 0.5000
Se 0.4112 0.2500 0.6612
Se 0.0888 0.7500 0.8388
Hg 0.6392 0.6392 0.6392
Se 0.2500 0.6612 0.4112
Se 0.7500 0.8388 0.0888

Properties
- Relative energy among the computed polymorphs: 0.0000 eV/atom
- SG: No. 199
- VASP energy: -2.1713 eV/atom